1.
Compound: Ba2TlSn2
Source: Alexandria via LeMat-Bulk
Functional: PBE
Structure: relaxed

## Properties
formation enthalpy at 0 K	-0.251	eV/atom

abc: 10.4044 10.4044 3.6691
angles: 90.00 90.00 90.00
Space group P4/mbm (No. 127)
Symmetry-distinct sites (fractional):
Ba (0.1299, 0.3701, 0.0000)
Tl (0.0000, 0.0000, 0.0000)
Sn (0.1695, 0.6695, 0.5000)

***

2.
Compound: Ba4Tl5Sn2
Source: Alexandria via LeMat-Bulk
Functional: PBE
Structure: relaxed

## Properties
formation enthalpy at 0 K	-0.398	eV/atom

abc: 8.4530 5.2033 9.7291
angles: 90.00 91.48 90.00
Space group P2/m (No. 10)
Symmetry-distinct sites (fractional):
Ba (0.2253, 0.0000, 0.1433)
Ba (0.2349, 0.0000, 0.6165)
Tl (0.1299, 0.5000, 0.8860)
Tl (0.4454, 0.5000, 0.3489)
Tl (0.5000, 0.5000, 0.0000)
Sn (0.0790, 0.5000, 0.3689)

***

3.
Compound: Ba3Tl7Sn2
Source: Alexandria via LeMat-Bulk
Functional: PBE
Structure: relaxed

## Properties
formation enthalpy at 0 K	-0.253	eV/atom

abc: 6.6962 6.6962 31.7149
angles: 90.00 90.00 120.00
Space group R-3m (No. 166, hexagonal axes)
Symmetry-distinct sites (fractional):
Ba (0.0000, 0.0000, 0.0000)
Ba (0.0000, 0.0000, 0.1405)
Tl (0.0000, 0.0000, 0.5000)
Tl (0.0067, 0.5034, 0.9185)
Sn (0.0000, 0.0000, 0.3362)

***

4.
Compound: BaTl3Sn
Source: Alexandria via LeMat-Bulk
Functional: PBE
Structure: relaxed

## Properties
formation enthalpy at 0 K	-0.242	eV/atom

abc: 6.9641 7.1546 7.7277
angles: 90.00 115.49 90.00
Space group P2_1/m (No. 11)
Symmetry-distinct sites (fractional):
Ba (0.0375, 0.2500, 0.2954)
Tl (0.2053, 0.2500, 0.9016)
Tl (0.4920, 0.0086, 0.7557)
Sn (0.2458, 0.7500, 0.3990)

***

5.
Compound: Ba2TlSn
Source: Alexandria via LeMat-Bulk
Functional: PBE
Structure: relaxed

## Properties
formation enthalpy at 0 K	-0.165	eV/atom

abc: 9.5004 9.5004 7.7044
angles: 90.00 90.00 90.00
Space group I-42d (No. 122)
Symmetry-distinct sites (fractional):
Ba (0.2434, 0.2500, 0.1250)
Tl (0.0000, 0.0000, 0.5000)
Sn (0.0000, 0.0000, 0.0000)

***

6.
Compound: Ba3Tl5Sn2
Source: Alexandria via LeMat-Bulk
Functional: PBE
Structure: relaxed

## Properties
formation enthalpy at 0 K	-0.297	eV/atom

abc: 13.8461 14.6233 7.3994
angles: 90.00 90.00 90.00
Space group Ibam (No. 72)
Symmetry-distinct sites (fractional):
Ba (0.0000, 0.0000, 0.2500)
Ba (0.2289, 0.3745, 0.0000)
Tl (0.0000, 0.2430, 0.2500)
Tl (0.0000, 0.5000, 0.2500)
Tl (0.1272, 0.3726, 0.5000)
Sn (0.1603, 0.1302, 0.0000)

***

7.
Compound: BaTl2Sn6
Source: Alexandria via LeMat-Bulk
Functional: PBE
Structure: relaxed

## Properties
formation enthalpy at 0 K	-0.120	eV/atom

abc: 16.3135 7.6468 5.0600
angles: 90.00 107.99 90.00
Space group C2/m (No. 12)
Symmetry-distinct sites (fractional):
Ba (0.0000, 0.0000, 0.0000)
Tl (0.1105, 0.5000, 0.1116)
Sn (0.0000, 0.3114, 0.5000)
Sn (0.1969, 0.2002, 0.6976)

***

8.
Compound: Ba2TlSn2
Source: Alexandria via LeMat-Bulk
Functional: PBE
Structure: relaxed

## Properties
formation enthalpy at 0 K	-0.498	eV/atom

abc: 8.3988 8.3988 5.3455
angles: 90.00 90.00 90.00
Space group P4/mbm (No. 127)
Symmetry-distinct sites (fractional):
Ba (0.1718, 0.3282, 0.0000)
Tl (0.0000, 0.0000, 0.5000)
Sn (0.1258, 0.6258, 0.5000)

***

9.
Compound: Ba2TlSn9
Source: Alexandria via LeMat-Bulk
Functional: PBE
Structure: relaxed

## Properties
formation enthalpy at 0 K	-0.219	eV/atom

abc: 6.5042 6.5042 31.7292
angles: 90.00 90.00 120.00
Space group R-3m (No. 166, hexagonal axes)
Symmetry-distinct sites (fractional):
Ba (0.0000, 0.0000, 0.1386)
Tl (0.0000, 0.0000, 0.0000)
Sn (0.0000, 0.0000, 0.3392)
Sn (0.0000, 0.0000, 0.5000)
Sn (0.0104, 0.5052, 0.9160)

***

10.
Compound: Ba2Tl4Sn3
Source: Alexandria via LeMat-Bulk
Functional: PBE
Structure: relaxed

## Properties
formation enthalpy at 0 K	-0.301	eV/atom

abc: 6.7472 18.0856 9.7772
angles: 90.00 90.00 90.00
Space group Cmce (No. 64)
Symmetry-distinct sites (fractional):
Ba (0.0000, 0.1155, 0.0801)
Tl (0.0000, 0.1794, 0.4754)
Tl (0.2500, 0.0541, 0.7500)
Sn (0.0000, 0.0000, 0.5000)
Sn (0.2500, 0.2235, 0.7500)

***

11.
Compound: Ba3Tl2Sn4
Source: Alexandria via LeMat-Bulk
Functional: PBE
Structure: relaxed

## Properties
formation enthalpy at 0 K	-0.505	eV/atom

abc: 13.5152 4.9303 9.9976
angles: 90.00 98.01 90.00
Space group C2/m (No. 12)
Symmetry-distinct sites (fractional):
Ba (0.0000, 0.0000, 0.0000)
Ba (0.1598, 0.5000, 0.6718)
Tl (0.1538, 0.5000, 0.3233)
Sn (0.0334, 0.0000, 0.3665)
Sn (0.1947, 0.5000, 0.0313)

***

12.
Compound: BaYTlSn
Source: Alexandria via LeMat-Bulk
Functional: PBE
Structure: relaxed

## Properties
formation enthalpy at 0 K	-0.386	eV/atom

abc: 8.0467 8.0467 8.0467
angles: 90.00 90.00 90.00
Space group F-43m (No. 216)
Symmetry-distinct sites (fractional):
Ba (0.0000, 0.0000, 0.0000)
Y (0.0000, 0.0000, 0.5000)
Tl (0.2500, 0.2500, 0.2500)
Sn (0.2500, 0.2500, 0.7500)

***

13.
Compound: Ba2TlZn4Sn3
Source: Alexandria via LeMat-Bulk
Functional: PBE
Structure: relaxed

## Properties
formation enthalpy at 0 K	-0.373	eV/atom

abc: 4.8204 4.8204 11.4195
angles: 90.00 90.00 90.00
Space group P-4m2 (No. 115)
Symmetry-distinct sites (fractional):
Ba (0.0000, 0.5000, 0.2382)
Tl (0.0000, 0.0000, 0.5000)
Zn (0.0000, 0.0000, 0.0000)
Zn (0.0000, 0.5000, 0.6368)
Zn (0.5000, 0.5000, 0.0000)
Sn (0.0000, 0.5000, 0.8742)
Sn (0.5000, 0.5000, 0.5000)

***

14.
Compound: Ba2TlZn3Sn4
Source: Alexandria via LeMat-Bulk
Functional: PBE
Structure: relaxed

## Properties
formation enthalpy at 0 K	-0.351	eV/atom

abc: 4.9215 4.9215 11.5946
angles: 90.00 90.00 90.00
Space group P-4m2 (No. 115)
Symmetry-distinct sites (fractional):
Ba (0.0000, 0.5000, 0.2486)
Tl (0.0000, 0.0000, 0.5000)
Zn (0.0000, 0.5000, 0.8733)
Zn (0.5000, 0.5000, 0.5000)
Sn (0.0000, 0.0000, 0.0000)
Sn (0.0000, 0.5000, 0.6405)
Sn (0.5000, 0.5000, 0.0000)

***

15.
Compound: BaTlZnSn
Source: Alexandria via LeMat-Bulk
Functional: PBE
Structure: relaxed

## Properties
formation enthalpy at 0 K	-0.215	eV/atom

abc: 7.8253 7.8253 7.8253
angles: 90.00 90.00 90.00
Space group F-43m (No. 216)
Symmetry-distinct sites (fractional):
Ba (0.0000, 0.0000, 0.0000)
Tl (0.2500, 0.2500, 0.7500)
Zn (0.2500, 0.2500, 0.2500)
Sn (0.0000, 0.0000, 0.5000)

***

16.
Compound: Ba2Tl6ZnSn
Source: Alexandria via LeMat-Bulk
Functional: PBE
Structure: relaxed

## Properties
formation enthalpy at 0 K	-0.153	eV/atom

abc: 8.4998 10.1954 7.8275
angles: 90.00 90.00 90.00
Space group Pmmn (No. 59, origin choice 2)
Symmetry-distinct sites (fractional):
Ba (0.2500, 0.0117, 0.2201)
Tl (0.0606, 0.2500, 0.9032)
Tl (0.0662, 0.7500, 0.5178)
Tl (0.2500, 0.0109, 0.7101)
Zn (0.2500, 0.2500, 0.5226)
Sn (0.2500, 0.7500, 0.9016)

***

17.
Compound: BaTmSn
Source: Alexandria via LeMat-Bulk
Functional: PBE
Structure: relaxed

## Properties
formation enthalpy at 0 K	-0.359	eV/atom

abc: 5.2040 5.2040 4.8660
angles: 90.00 90.00 120.00
Space group P3m1 (No. 156)
Symmetry-distinct sites (fractional):
Ba (0.0000, 0.0000, 0.0000)
Tm (0.3333, 0.6667, 0.4998)
Sn (0.6667, 0.3333, 0.5009)

***

18.
Compound: BaTmSn2
Source: Alexandria via LeMat-Bulk
Functional: PBE
Structure: relaxed

## Properties
formation enthalpy at 0 K	-0.596	eV/atom

abc: 4.0770 4.0770 7.6061
angles: 90.00 90.00 90.00
Space group P4/mmm (No. 123)
Symmetry-distinct sites (fractional):
Ba (0.0000, 0.0000, 0.0000)
Tm (0.0000, 0.0000, 0.5000)
Sn (0.5000, 0.5000, 0.3033)

***

19.
Compound: BaTmSn
Source: Alexandria via LeMat-Bulk
Functional: PBE
Structure: relaxed

## Properties
formation enthalpy at 0 K	-0.554	eV/atom

abc: 5.0112 5.0112 8.8357
angles: 90.00 90.00 90.00
Space group P4/nmm (No. 129, origin choice 2)
Symmetry-distinct sites (fractional):
Ba (0.2500, 0.2500, 0.1497)
Tm (0.2500, 0.7500, 0.5000)
Sn (0.2500, 0.2500, 0.7202)

***

20.
Compound: BaTmSn2
Source: Alexandria via LeMat-Bulk
Functional: PBE
Structure: relaxed

## Properties
formation enthalpy at 0 K	-0.458	eV/atom

abc: 5.0394 5.0394 19.3076
angles: 90.00 90.00 120.00
Space group R-3m (No. 166, hexagonal axes)
Symmetry-distinct sites (fractional):
Ba (0.0000, 0.0000, 0.0000)
Tm (0.0000, 0.0000, 0.5000)
Sn (0.0000, 0.0000, 0.2235)

***

21.
Compound: Ba2VSn
Source: Alexandria via LeMat-Bulk
Functional: PBE
Structure: relaxed

## Properties
formation enthalpy at 0 K	0.500	eV/atom

abc: 9.3443 9.3443 6.5066
angles: 90.00 90.00 90.00
Space group I-42d (No. 122)
Symmetry-distinct sites (fractional):
Ba (0.2189, 0.2500, 0.1250)
V (0.0000, 0.0000, 0.0000)
Sn (0.0000, 0.0000, 0.5000)

***

22.
Compound: Ba3VSn
Source: Alexandria via LeMat-Bulk
Functional: PBE
Structure: relaxed

## Properties
formation enthalpy at 0 K	0.497	eV/atom

abc: 6.0046 6.0046 6.0046
angles: 90.00 90.00 90.00
Space group Pm-3m (No. 221)
Symmetry-distinct sites (fractional):
Ba (0.0000, 0.0000, 0.5000)
V (0.0000, 0.0000, 0.0000)
Sn (0.5000, 0.5000, 0.5000)

***

23.
Compound: Ba2VSn4
Source: Alexandria via LeMat-Bulk
Functional: PBE
Structure: relaxed

## Properties
formation enthalpy at 0 K	-0.300	eV/atom

abc: 5.1924 5.1924 17.3865
angles: 90.00 90.00 90.00
Space group I4/mmm (No. 139)
Symmetry-distinct sites (fractional):
Ba (0.0000, 0.0000, 0.1473)
V (0.0000, 0.0000, 0.5000)
Sn (0.0000, 0.0000, 0.3475)
Sn (0.0000, 0.5000, 0.0000)